--- one ---
Tl2Os3 | PBE | relaxed

```
10
Lattice="-4.0605 -2.8543 7.1880 -3.6579 2.5747 6.4081 -4.8489 -2.5290 -0.5802" Properties=species:S:1:pos:R:3 pbc="T T T"
Tl -6.0145 0.3587 7.0037
Tl -7.5127 -2.5412 5.7184
Tl -8.8825 -0.5581 8.9050
Tl -10.9283 -3.0288 10.3251
Os -6.4750 -2.1859 8.4393
Os -4.8951 -1.4035 4.9428
Os -8.9158 -3.4376 8.2302
Os -8.7379 -1.5562 11.6598
Os -4.2978 -2.6995 7.1154
Os -3.3791 -0.5474 3.1814
```


--- two ---
Tl2Os3 | PBE | relaxed

```
5
Lattice="9.9843 -1.7358 -0.0231 9.9843 1.7358 -0.0231 9.6895 0.0000 2.9689" Properties=species:S:1:pos:R:3 pbc="T T T"
Tl 11.8878 0.0000 1.1715
Tl 17.7704 0.0000 1.7512
Os 0.0000 0.0000 0.0000
Os 24.0989 0.0000 2.3749
Os 5.5593 0.0000 0.5479
```


Which of them is the most stable? Correct choice: one.


--- one ---
TlOs4 | PBE | relaxed

```
5
Lattice="0.5818 -3.0261 3.7960 -2.9863 3.7919 -0.7802 -1.8579 -3.1503 -3.2449" Properties=species:S:1:pos:R:3 pbc="T T T"
Tl 0.0000 0.0000 0.0000
Os -1.1359 -1.6247 2.0706
Os -1.4108 -2.3724 -0.5224
Os -3.1264 -0.7597 -2.2997
Os -2.8515 -0.0120 0.2933
```


--- two ---
TlOs4 | PBE | relaxed

```
5
Lattice="6.1974 0.1762 1.9667 3.5317 4.9452 2.3191 -5.6541 -3.1900 0.4015" Properties=species:S:1:pos:R:3 pbc="T T T"
Tl 0.0000 0.0000 0.0000
Os 2.7039 -0.2266 2.2556
Os 1.3711 2.1580 2.4317
Os 5.8935 3.1024 2.5962
Os 3.8356 2.0191 1.6896
```


Which of them is the most stable? Correct choice: one.


--- one ---
TlOs4 | PBE | relaxed

```
10
Lattice="5.2557 0.0000 0.0000 0.0000 5.2557 0.0000 0.0000 0.0000 6.2978" Properties=species:S:1:pos:R:3 pbc="T T T"
Tl 0.0000 0.0000 0.0000
Tl 2.6279 2.6279 3.1489
Os 0.0000 1.4260 2.3395
Os 0.0000 3.8297 2.3395
Os 1.4260 0.0000 3.9583
Os 3.8297 0.0000 3.9583
Os 2.6279 4.0538 0.8094
Os 2.6279 1.2019 0.8094
Os 1.2019 2.6279 5.4884
Os 4.0538 2.6279 5.4884
```


--- two ---
TlOs4 | PBE | relaxed

```
5
Lattice="4.8028 0.0000 0.0000 0.0000 4.8028 0.0000 0.0000 0.0000 4.8028" Properties=species:S:1:pos:R:3 pbc="T T T"
Tl 2.4014 2.4014 2.4014
Os 0.0000 0.0000 0.0000
Os 2.4014 0.0000 2.4014
Os 0.0000 2.4014 2.4014
Os 2.4014 2.4014 0.0000
```


Which of them is the most stable? Correct choice: one.


--- one ---
Tl4Os | PBE | relaxed

```
10
Lattice="-4.6970 -4.2593 -0.5307 3.8485 -3.8307 -3.3166 1.9265 -2.8069 5.4776" Properties=species:S:1:pos:R:3 pbc="T T T"
Tl 0.4464 -2.6323 0.9907
Tl -0.0281 -7.3035 -1.2362
Tl 3.3371 -5.7980 0.9521
Tl -1.5994 -6.0602 2.5540
Tl 1.7116 -4.4278 -1.5708
Tl -1.9004 -4.6235 -0.4007
Tl 1.3438 -4.6627 3.4313
Tl 1.0009 -8.0800 1.8008
Os 0.0000 0.0000 0.0000
Os 0.5390 -5.4485 0.8152
```


--- two ---
Tl4Os | PBE | relaxed

```
5
Lattice="-2.0275 2.0275 8.7032 2.0275 -2.0275 8.7032 2.0275 2.0275 -8.7032" Properties=species:S:1:pos:R:3 pbc="T T T"
Tl 0.0000 2.0275 4.3516
Tl 2.0275 0.0000 4.3516
Tl 0.0000 0.0000 10.1611
Tl 0.0000 0.0000 7.2453
Os 0.0000 0.0000 0.0000
```


--- three ---
Tl4Os | PBE | relaxed

```
5
Lattice="-3.5664 -2.5771 3.0312 3.1551 0.6479 4.2631 -2.4238 4.6354 1.0893" Properties=species:S:1:pos:R:3 pbc="T T T"
Tl 0.0000 0.0000 0.0000
Tl -2.9951 1.0292 2.0602
Tl 0.3657 2.6417 2.6762
Tl -0.2056 -0.9646 3.6471
Os -1.4175 1.3532 4.1918
```


Which of them is the most stable? Correct choice: three.


--- one ---
Tl3Os2 | PBE | relaxed

```
5
Lattice="-3.9184 -8.8902 8.0571 -3.9239 -10.6543 5.5132 -1.3215 -10.3135 7.1548" Properties=species:S:1:pos:R:3 pbc="T T T"
Tl 0.0000 0.0000 0.0000
Tl -7.2320 -23.5637 16.3561
Tl -1.9318 -6.2943 4.3690
Os -3.5941 -11.7105 8.1285
Os -5.5697 -18.1475 12.5966
```


--- two ---
Tl3Os2 | PBE | relaxed

```
10
Lattice="3.8817 -12.1570 -0.5002 -2.2259 -10.5338 2.1644 4.2302 -2.1282 -4.9612" Properties=species:S:1:pos:R:3 pbc="T T T"
Tl 1.0370 -14.0582 0.4996
Tl 5.0657 -10.7025 -3.5315
Tl 3.0854 -15.6546 -1.8095
Tl 2.0786 -9.3585 -2.3707
Tl 3.3371 -12.3035 -1.1664
Tl 4.8086 -18.5082 -1.9906
Os 5.0431 -13.7947 -2.7164
Os 1.1708 -10.9360 -0.1795
Os 6.6886 -18.6091 -3.9886
Os 2.4682 -18.5311 -0.5558
```


Which of them is the most stable? Correct choice: two.


--- one ---
Tl5Os3 | PBE | relaxed

```
8
Lattice="-1.3051 3.9277 -4.0696 -1.3104 -4.7386 -3.0855 -4.5946 0.1911 1.6579" Properties=species:S:1:pos:R:3 pbc="T T T"
Tl 0.0000 0.0000 0.0000
Tl -0.6526 1.9638 -2.0348
Tl -0.6552 -2.3693 -1.5428
Tl -3.6041 1.3357 -2.9354
Tl -3.6061 -1.9555 -2.5617
Os -1.3078 -0.4054 -3.5775
Os -4.4405 -0.5689 -5.0340
Os -2.7696 -0.0509 -0.4632
```


--- two ---
Tl5Os3 | PBE | relaxed

```
16
Lattice="-5.2650 -3.1354 -5.3805 6.0638 -4.6016 2.9281 -3.3949 -1.7215 4.3252" Properties=species:S:1:pos:R:3 pbc="T T T"
Tl -1.1076 -5.8340 4.4835
Tl -3.1863 -4.4849 -0.4486
Tl -1.4890 -3.6242 -2.6110
Tl 0.5897 -4.9733 2.3211
Tl 3.9252 -5.8000 2.6912
Tl -0.4578 -8.2600 2.1094
Tl -4.6271 -4.6936 -3.5813
Tl -0.2455 -6.2710 -0.7699
Tl -2.3510 -3.1873 2.6424
Tl 2.0308 -4.7649 5.4539
Os 2.0116 -6.9397 0.7356
Os 1.4559 -7.1203 4.0651
Os -2.4231 -6.3664 -2.5171
Os -0.5364 -3.4586 0.1212
Os -2.0601 -5.9998 1.7513
Os -0.1732 -3.0920 4.3897
```


--- three ---
Tl5Os3 | PBE | relaxed

```
16
Lattice="8.0367 -0.9029 0.2903 -6.8360 6.2924 0.5707 -0.3610 -1.6196 7.8310" Properties=species:S:1:pos:R:3 pbc="T T T"
Tl -3.5347 3.8035 5.4062
Tl 4.3674 -0.0327 3.2858
Tl 5.1952 -1.6264 7.3271
Tl -4.3621 5.3971 1.3648
Tl 1.8204 2.4469 3.6310
Tl -0.9878 1.3236 5.0608
Tl 2.4912 0.5473 6.3167
Tl -1.6583 3.2235 2.3749
Tl -0.5213 0.0067 1.9420
Tl 1.3543 3.7641 6.7499
Os -0.3995 2.0044 7.8578
Os 1.2324 1.7663 0.8340
Os 1.6453 -0.4523 3.8816
Os -0.8125 4.2233 4.8102
Os -2.8523 2.0288 7.4786
Os 3.6852 1.7418 1.2131
```


Which of them is the most stable? Correct choice: three.


--- one ---
Tl3VOs | PBE | relaxed

```
5
Lattice="-1.0115 4.8679 -1.7605 -4.9383 -1.4453 -1.1591 -1.5522 1.4261 4.8349" Properties=species:S:1:pos:R:3 pbc="T T T"
Tl -2.4691 -0.7227 -0.5795
Tl -0.7761 0.7130 2.4175
Tl -0.5058 2.4340 -0.8803
Os 0.0000 0.0000 0.0000
V -3.7510 2.4243 0.9576
```


--- two ---
Tl3VOs | PBE | relaxed

```
5
Lattice="-4.4647 -1.8811 -2.1283 2.7667 -1.9816 -4.0523 0.6435 -4.5317 2.6554" Properties=species:S:1:pos:R:3 pbc="T T T"
Tl 1.3833 -0.9908 -2.0261
Tl 0.3218 -2.2659 1.3277
Tl -2.2323 -0.9406 -1.0642
Os -0.5272 -4.1972 -1.7626
V 0.0000 0.0000 0.0000
```


Which of them is the most stable? Correct choice: one.


--- one ---
Tl2V2Os | PBE | relaxed

```
10
Lattice="6.3365 0.0000 0.0000 0.0000 6.3365 0.0000 0.0000 0.0000 4.6873" Properties=species:S:1:pos:R:3 pbc="T T T"
Tl 1.1169 4.2851 2.3436
Tl 4.2851 5.2196 2.3436
Tl 5.2196 2.0513 2.3436
Tl 2.0513 1.1169 2.3436
Os 0.0000 0.0000 0.0000
Os 3.1682 3.1682 0.0000
V 2.2915 5.4597 0.0000
V 5.4597 4.0450 0.0000
V 4.0450 0.8768 0.0000
V 0.8768 2.2915 0.0000
```


--- two ---
Tl2V2Os | PBE | relaxed

```
5
Lattice="3.8781 0.0000 0.0000 0.0000 3.8781 0.0000 1.9391 1.9391 6.6590" Properties=species:S:1:pos:R:3 pbc="T T T"
Tl 3.8781 1.9391 3.3295
Tl 1.9391 3.8781 3.3295
Os 0.0000 0.0000 0.0000
V 1.9391 1.9391 0.9740
V 3.8781 3.8781 5.6850
```


Which of them is the most stable? Correct choice: one.


--- one ---
TlVOs3 | PBE | relaxed

```
5
Lattice="4.9030 0.0000 0.0000 0.0000 4.9030 0.0000 0.0000 0.0000 4.9030" Properties=species:S:1:pos:R:3 pbc="T T T"
Tl 0.0000 0.0000 0.0000
Os 0.0000 2.4515 0.0000
Os 0.0000 0.0000 2.4515
Os 2.4515 0.0000 0.0000
V 2.4515 2.4515 2.4515
```


--- two ---
TlVOs3 | PBE | relaxed

```
5
Lattice="-2.7899 3.1463 -1.7371 -2.8737 -0.6322 3.4702 2.1584 3.2251 2.3749" Properties=species:S:1:pos:R:3 pbc="T T T"
Tl -1.7526 2.8696 2.0540
Os -1.4369 -0.3161 1.7351
Os 1.0792 1.6126 1.1875
Os -1.3949 1.5732 -0.8686
V 0.0000 0.0000 0.0000
```


Which of them is the most stable? Correct choice: two.


--- one ---
Tl2OsW | PBE | relaxed

```
4
Lattice="9.4133 -0.0113 -0.0066 8.9172 3.0157 -0.0066 8.9172 1.4615 2.6378" Properties=species:S:1:pos:R:3 pbc="T T T"
Os 20.4357 3.3494 1.9684
Tl 0.0706 0.0116 0.0068
Tl 13.5532 2.2214 1.3055
W 6.8119 1.1165 0.6561
```


--- two ---
Tl2OsW | PBE | relaxed

```
4
Lattice="-2.8118 4.2488 -1.1991 -2.6578 -3.6867 2.5963 0.8116 1.2875 2.6590" Properties=species:S:1:pos:R:3 pbc="T T T"
Os -0.9231 -1.1996 2.6277
Tl 0.0000 0.0000 0.0000
Tl -2.7348 0.2811 0.6986
W -1.0001 2.7682 0.7299
```


--- three ---
Tl2OsW | PBE | relaxed

```
4
Lattice="-0.2915 3.0917 0.2374 -1.7190 -0.4589 3.8662 5.2297 0.3117 2.3623" Properties=species:S:1:pos:R:3 pbc="T T T"
Os 2.9170 1.5502 3.8235
Tl 5.2098 0.3106 2.3533
Tl 2.6347 0.1571 1.1901
W 0.3021 1.3943 2.6423
```


--- four ---
Tl2OsW | PBE | relaxed

```
4
Lattice="6.4733 -0.0145 0.0053 3.8911 5.1733 -0.0053 -4.6590 -3.6305 2.6489" Properties=species:S:1:pos:R:3 pbc="T T T"
Os 2.7236 2.3181 1.3218
Tl 0.1749 0.0870 0.0000
Tl 3.2620 -0.6504 1.3271
W 4.7272 2.3529 0.0000
```


Which of them is the most stable? Correct choice: four.


--- one ---
Tl2OsW | PBE | relaxed

```
4
Lattice="-0.7534 0.7603 -2.9162 -2.9171 -0.7459 0.5591 -3.0926 7.9628 2.8751" Properties=species:S:1:pos:R:3 pbc="T T T"
Os -4.9951 5.3569 1.0326
Tl -3.5546 7.4815 2.8690
Tl -1.4072 2.6649 -0.5961
W -2.9035 4.0452 1.8048
```


--- two ---
Tl2OsW | PBE | relaxed

```
4
Lattice="2.9680 0.0000 0.0000 0.0000 2.9680 0.0000 0.0000 0.0000 8.6441" Properties=species:S:1:pos:R:3 pbc="T T T"
Os 1.4840 1.4840 6.4830
Tl 0.0000 0.0000 8.5309
Tl 0.0000 0.0000 4.4352
W 1.4840 1.4840 2.1610
```


Which of them is the most stable? Correct choice: one.